# 1
# CaRuBr2

A relaxed structure of CaRuBr2 (PBEsol, Alexandria).

a = 6.450 Å, b = 6.450 Å, c = 6.450 Å
α = 146.78°, β = 137.37°, γ = 55.08°
Sites, in units of the cell vectors:
Ca 0.000 0.000 0.000
Ru 0.500 0.500 0.000
Br 0.351 0.851 0.500
Br 0.649 0.149 0.500

Values from the calculation:
Total moment, μB/cell: 0.000
Space-group type: Immm, No. 71
Energy relative to the lowest polymorph listed for this composition, kJ per mole of atoms: 0.0
Calculated volume, Å³/atom: 24.722
Formation energy without anion corrections, eV per formula unit: -2.18
Energy, eV per cell: -18.23

# 2
# CaRu2Br

A relaxed structure of CaRu2Br (PBEsol, Alexandria).

a = 3.231 Å, b = 7.617 Å, c = 7.617 Å
α = 23.98°, β = 90.00°, γ = 90.00°
Sites, in units of the cell vectors:
Ca 0.000 0.000 0.000
Ru 0.000 0.214 0.214
Ru 0.500 0.642 0.642
Br 0.500 0.374 0.374

Values from the calculation:
Total moment, μB/cell: 0.001
Space-group type: Amm2, No. 38
Calculated volume, Å³/atom: 19.046
Formation energy without anion corrections, eV per formula unit: 0.11
Energy, eV per cell: -24.23

# 3
# CaRuBr2

A relaxed structure of CaRuBr2 (PBEsol, Alexandria).

a = 4.685 Å, b = 4.685 Å, c = 3.436 Å
α = 90.00°, β = 90.00°, γ = 90.00°
Sites, in units of the cell vectors:
Ca 0.000 0.000 0.000
Ru 0.500 0.500 0.000
Br 0.000 0.500 0.500
Br 0.500 0.000 0.500

Values from the calculation:
Total moment, μB/cell: 0.002
Space-group type: P4/mmm, No. 123
Energy relative to the lowest polymorph listed for this composition, kJ per mole of atoms: 29.4
Calculated volume, Å³/atom: 18.853
Formation energy without anion corrections, eV per formula unit: -0.96
Energy, eV per cell: -17.01

# 4
# CaS2Br

A relaxed structure of CaS2Br (PBEsol, Alexandria).

a = 8.745 Å, b = 8.745 Å, c = 8.745 Å
α = 144.89°, β = 144.89°, γ = 50.51°
Sites, in units of the cell vectors:
Ca 0.000 0.000 0.000
Ca 0.750 0.250 0.500
S 0.147 0.625 0.022
S 0.375 0.397 0.522
S 0.603 0.125 0.978
S 0.875 0.853 0.478
Br 0.250 0.750 0.500
Br 0.500 0.500 0.000

Values from the calculation:
Total moment, μB/cell: 0.000
Space-group type: I-42d, No. 122
Calculated volume, Å³/atom: 27.523
Formation energy without anion corrections, eV per formula unit: -1.51
Energy, eV per cell: -28.56

Q: Number 3 is which compound?
A: CaRuBr2

Q: Which of these has the lowest energy?
A: CaS2Br